No. 1
Computed, not measured: a geometry-optimized ZrZnP2S structure at the PBEsol level of DFT.

Unit cell a=4.4813 b=4.4813 c=4.5448 alpha=90.00 beta=90.00 gamma=90.00
Closest atoms and distances in Å follow each position.
Fractional positions:
Zn 0.0000 0.0000 0.0000  4 P 2.24, 2 S 2.27
S 0.0000 0.0000 0.5000  2 Zn 2.27
Zr 0.5000 0.5000 0.5000  4 S 3.17, 8 P 3.19
P 0.0000 0.5000 0.0000  2 Zn 2.24
P 0.5000 0.0000 0.0000  2 Zn 2.24

* density: 4560 kg/m³
* DFT total energy: -24.9 eV/cell
* uncorrected formation energy: 0.351 eV/atom

No. 2
Computed, not measured: a geometry-optimized ZrPS3 structure at the PBEsol level of DFT.

Unit cell a=4.4026 b=4.4026 c=4.4026 alpha=90.00 beta=90.00 gamma=90.00
Closest atoms and distances in Å follow each position.
Fractional positions:
P 0.0000 0.0000 0.0000  6 S 2.20
S 0.0000 0.5000 0.0000  2 P 2.20
S 0.5000 0.0000 0.0000  2 P 2.20
S 0.0000 0.0000 0.5000  2 P 2.20
Zr 0.5000 0.5000 0.5000  12 S 3.11

* density: 4250 kg/m³
* DFT total energy: -29.0 eV/cell
* uncorrected formation energy: -0.187 eV/atom

No. 3
Computed, not measured: a geometry-optimized Zr2P3S structure at the PBEsol level of DFT.

Unit cell a=3.5562 b=3.5562 c=7.7826 alpha=90.00 beta=90.00 gamma=90.00
Closest atoms and distances in Å follow each position.
Fractional positions:
Zr 0.5000 0.5000 0.2654  8 P 2.67-2.73, 1 S 2.77
Zr 0.0000 0.0000 0.7350  4 S 2.67, 5 P 2.72-2.77
P 0.0000 0.0000 0.3796  5 Zr 2.67-2.77
P 0.5000 0.0000 0.9992  4 P 2.51, 4 Zr 2.72-2.73
P 0.0000 0.5000 0.9992  4 P 2.51, 4 Zr 2.72-2.73
S 0.5000 0.5000 0.6216  5 Zr 2.67-2.77

* density: 5187 kg/m³
* DFT total energy: -47.2 eV/cell
* uncorrected formation energy: -1.204 eV/atom

No. 4
Computed, not measured: a geometry-optimized ZrP2S7 structure at the PBEsol level of DFT.

Unit cell a=8.5184 b=8.5184 c=15.3978 alpha=98.26 beta=98.26 gamma=118.71
Closest atoms and distances in Å follow each position.
Fractional positions:
S 0.1435 0.3999 0.1450  1 P 2.05
S 0.8006 0.9854 0.0983  1 P 2.01
S 0.0015 0.7451 0.1450  1 P 2.05
S 0.9694 0.0306 0.5000  2 P 2.11
S 0.7929 0.3605 0.2163  1 P 2.02
S 0.9523 0.6371 0.4017  1 P 2.01
S 0.2806 0.7194 0.0000  2 P 2.11
S 0.8266 0.8942 0.2837  1 P 2.02
S 0.3629 0.0477 0.5983  1 P 2.01
S 0.1065 0.3501 0.3550  1 P 2.05
S 0.6105 0.5429 0.7163  1 P 2.02
S 0.9951 0.7515 0.6450  1 P 2.05
S 0.4494 0.7646 0.4017  1 P 2.01
S 0.6499 0.8935 0.6450  1 P 2.05
S 0.7194 0.2806 0.0000  2 P 2.11
S 0.2354 0.5506 0.5983  1 P 2.01
S 0.1442 0.5766 0.7837  1 P 2.02
S 0.4234 0.8558 0.2163  1 P 2.02
S 0.2549 0.9985 0.8550  1 P 2.05
S 0.4571 0.3895 0.2837  1 P 2.02
S 0.5306 0.4694 0.5000  2 P 2.11
S 0.1058 0.1734 0.7163  1 P 2.02
S 0.2977 0.1129 0.0983  1 P 2.01
S 0.8871 0.7023 0.9017  1 P 2.01
S 0.2485 0.0049 0.3550  1 P 2.05
S 0.6395 0.2071 0.7837  1 P 2.02
S 0.6001 0.8565 0.8550  1 P 2.05
S 0.0146 0.1994 0.9017  1 P 2.01
P 0.7518 0.1398 0.8857  4 S 2.01-2.11
P 0.9960 0.8840 0.3857  4 S 2.01-2.11
P 0.3898 0.5018 0.3857  4 S 2.01-2.11
P 0.1340 0.7460 0.8857  4 S 2.01-2.11
P 0.1160 0.0040 0.6143  4 S 2.01-2.11
P 0.4982 0.6102 0.6143  4 S 2.01-2.11
P 0.8602 0.2482 0.1143  4 S 2.01-2.11
P 0.2540 0.8660 0.1143  4 S 2.01-2.11
Zr 0.8906 0.8906 0.7811  8 S 2.62-2.78
Zr 0.3594 0.8594 0.7189  8 S 2.62-2.78
Zr 0.1406 0.6406 0.2811  8 S 2.62-2.78
Zr 0.1094 0.1094 0.2189  8 S 2.62-2.78

* density: 2668 kg/m³
* DFT total energy: -231.6 eV/cell
* uncorrected formation energy: -0.654 eV/atom

No. 5
Computed, not measured: a geometry-optimized SbP structure at the PBEsol level of DFT.

Unit cell a=3.9195 b=5.5569 c=6.2515 alpha=90.42 beta=108.27 gamma=90.00
Closest atoms and distances in Å follow each position.
Fractional positions:
Sb 0.8422 0.9842 0.6845  4 P 2.68-2.89, 2 Sb 2.95
Sb 0.5000 0.5000 0.0000  6 P 2.78-2.85
Sb 0.1578 0.0158 0.3155  4 P 2.68-2.89, 2 Sb 2.95
P 0.1745 0.4968 0.3491  2 P 2.66, 4 Sb 2.68-2.89
P 0.5000 0.0000 0.0000  6 Sb 2.71-2.78
P 0.8255 0.5032 0.6509  2 P 2.66, 4 Sb 2.68-2.89

* ΔE to the lowest computed polymorph: 0 meV per atom
* density: 5885 kg/m³
* DFT total energy: -30.1 eV/cell
* uncorrected formation energy: 0.165 eV/atom

No. 6
Computed, not measured: a geometry-optimized SbP2 structure at the PBEsol level of DFT.

Unit cell a=3.1902 b=5.9026 c=8.3120 alpha=112.93 beta=90.00 gamma=105.68
Closest atoms and distances in Å follow each position.
Fractional positions:
Sb 0.9250 0.8499 0.3125  1 P 2.61, 1 Sb 2.88
Sb 0.0750 0.1501 0.6875  1 P 2.61, 1 Sb 2.88
P 0.8610 0.7220 0.7339  2 P 2.20
P 0.3923 0.7845 0.9298  3 P 2.20-2.25
P 0.6077 0.2155 0.0702  3 P 2.20-2.25
P 0.1390 0.2780 0.2661  2 P 2.20

* ΔE to the lowest computed polymorph: 0 meV per atom
* density: 4427 kg/m³
* DFT total energy: -31.8 eV/cell
* uncorrected formation energy: 0.073 eV/atom

No. 7
Computed, not measured: a geometry-optimized SbP structure at the PBEsol level of DFT.

Unit cell a=4.1505 b=4.1505 c=11.5587 alpha=90.00 beta=90.00 gamma=120.00
Closest atoms and distances in Å follow each position.
Fractional positions:
Sb 0.3333 0.6667 0.0753  3 Sb 2.96, 6 P 3.13
Sb 0.6667 0.3333 0.5753  3 Sb 2.96, 6 P 3.13
Sb 0.6667 0.3333 0.9247  3 Sb 2.96, 6 P 3.13
Sb 0.3333 0.6667 0.4247  3 Sb 2.96, 6 P 3.13
P 0.0000 0.0000 0.2500  3 P 2.40
P 0.6667 0.3333 0.2500  3 P 2.40
P 0.3333 0.6667 0.7500  3 P 2.40
P 0.0000 0.0000 0.7500  3 P 2.40

* ΔE to the lowest computed polymorph: 210 meV per atom
* density: 5883 kg/m³
* DFT total energy: -38.4 eV/cell
* uncorrected formation energy: 0.375 eV/atom

No. 8
Computed, not measured: a geometry-optimized SbP2 structure at the PBEsol level of DFT.

Unit cell a=3.3794 b=3.3794 c=5.1062 alpha=90.00 beta=90.00 gamma=90.00
Closest atoms and distances in Å follow each position.
Fractional positions:
P 0.5000 0.0000 0.5000  4 P 2.39
P 0.0000 0.5000 0.5000  4 P 2.39
Sb 0.0000 0.0000 0.0000  8 P 3.06, 4 Sb 3.38

* ΔE to the lowest computed polymorph: 265 meV per atom
* density: 5231 kg/m³
* DFT total energy: -15.1 eV/cell
* uncorrected formation energy: 0.339 eV/atom

No. 9
Computed, not measured: a geometry-optimized SbP structure at the PBEsol level of DFT.

Unit cell a=3.8833 b=3.8833 c=6.2165 alpha=108.20 beta=108.20 gamma=90.00
Closest atoms and distances in Å follow each position.
Fractional positions:
Sb 0.7500 0.2500 0.5000  4 P 2.75
Sb 0.5000 0.5000 0.0000  4 P 2.75
P 0.2500 0.7500 0.5000  4 Sb 2.75
P 0.0000 0.0000 0.0000  4 Sb 2.75

* ΔE to the lowest computed polymorph: 316 meV per atom
* density: 6031 kg/m³
* DFT total energy: -18.8 eV/cell
* uncorrected formation energy: 0.481 eV/atom

No. 10
Computed, not measured: a geometry-optimized SbP structure at the PBEsol level of DFT.

Unit cell a=4.8475 b=4.8475 c=4.8475 alpha=60.00 beta=60.00 gamma=60.00
Closest atoms and distances in Å follow each position.
Fractional positions:
P 0.7500 0.7500 0.7500  4 P 2.97, 4 Sb 2.97
P 0.5000 0.5000 0.5000  4 P 2.97, 4 Sb 2.97
Sb 0.0000 0.0000 0.0000  4 P 2.97, 4 Sb 2.97
Sb 0.2500 0.2500 0.2500  4 Sb 2.97, 4 P 2.97

* ΔE to the lowest computed polymorph: 375 meV per atom
* density: 6298 kg/m³
* DFT total energy: -18.5 eV/cell
* uncorrected formation energy: 0.540 eV/atom

density of number 3 (Zr2P3S)?
5187 kg/m³